# PuHgAu, relaxed, DFT PBE-GGA
# space-group type = P-6m2, No. 187
# formation energy from the elements = -0.3337 eV/atom
# total DFT energy (no corrections) = -6.304 eV/atom
data_PuHgAu
_chemical_formula_sum 'Pu1 Hg1 Au1'
_space_group_name_H-M_alt 'P 1'
_space_group_IT_number 1
_space_group_name_Hall 'P 1'
_cell_length_a 3.143
_cell_length_b 4.998
_cell_length_c 4.998
_cell_angle_alpha 120.00
_cell_angle_beta 90.00
_cell_angle_gamma 90.00
loop_
_atom_site_label
_atom_site_fract_x
_atom_site_fract_y
_atom_site_fract_z
Au1 0.167 0.333 0.667
Pu1 0.667 0.667 0.333
Hg1 0.166 0.000 0.000